# MnSbO3 PBE+U optimized geometry
# density of states at the Fermi level	0.75	states/eV per cell
# total moment	3.94	Bohr magnetons per cell
# total energy	-6.320	eV/atom
data_MnSbO3
_cell_length_a 3.861
_cell_length_b 3.861
_cell_length_c 3.861
_cell_angle_alpha 90.00
_cell_angle_beta 90.00
_cell_angle_gamma 90.00
_symmetry_space_group_name_H-M 'P m -3 m'
_symmetry_Int_Tables_number 221
_symmetry_space_group_name_Hall '-P 4 2 3'
loop_
_atom_site_label
_atom_site_type_symbol
_atom_site_fract_x
_atom_site_fract_y
_atom_site_fract_z
Mn1 Mn 0.000 0.000 0.000
Sb1 Sb 0.500 0.500 0.500
O1 O 0.000 0.000 0.500